No. 1
First-principles (GGA-PBE) data for a relaxed LiTbDyBe crystal, as listed in Alexandria.

Lattice parameters (Å, degrees): 7.0584 7.0584 7.0584 90.00 90.00 90.00
With the nearest neighbours (Å) after each atom.
Fractional coordinates of all 16 atoms:
Li: 0.0000 0.0000 0.0000  4 Tb 3.06, 4 Dy 3.06
Li: 0.0000 0.5000 0.5000  4 Tb 3.06, 4 Dy 3.06
Li: 0.5000 0.0000 0.5000  4 Tb 3.06, 4 Dy 3.06
Li: 0.5000 0.5000 0.0000  4 Tb 3.06, 4 Dy 3.06
Tb: 0.2500 0.2500 0.7500  4 Li 3.06, 4 Be 3.06
Tb: 0.2500 0.7500 0.2500  4 Li 3.06, 4 Be 3.06
Tb: 0.7500 0.2500 0.2500  4 Li 3.06, 4 Be 3.06
Tb: 0.7500 0.7500 0.7500  4 Li 3.06, 4 Be 3.06
Dy: 0.2500 0.2500 0.2500  4 Li 3.06, 4 Be 3.06
Dy: 0.2500 0.7500 0.7500  4 Li 3.06, 4 Be 3.06
Dy: 0.7500 0.2500 0.7500  4 Li 3.06, 4 Be 3.06
Dy: 0.7500 0.7500 0.2500  4 Li 3.06, 4 Be 3.06
Be: 0.0000 0.0000 0.5000  4 Tb 3.06, 4 Dy 3.06
Be: 0.0000 0.5000 0.0000  4 Tb 3.06, 4 Dy 3.06
Be: 0.5000 0.0000 0.0000  4 Tb 3.06, 4 Dy 3.06
Be: 0.5000 0.5000 0.5000  4 Dy 3.06, 4 Tb 3.06

**SG**: F-43m
**Total moment**: 0.0 μB per cell
**Calculated density**: 6.37 g/cm³
**Total DFT energy (no corrections)**: -3.58 eV per atom
**E_form**: 0.14 eV/atom
**Fermi-level density of states**: 19.4 states/eV/cell

***

No. 2
First-principles (GGA-PBE) data for a relaxed Pm2MnNi crystal, as listed in Alexandria.

Lattice parameters (Å, degrees): 3.5281 3.5281 7.1629 90.00 90.00 90.00
With the nearest neighbours (Å) after each atom.
Fractional coordinates of all 4 atoms:
Pm: 0.0000 0.0000 0.2360  4 Ni 3.01, 4 Mn 3.13
Pm: 0.0000 0.0000 0.7640  4 Ni 3.01, 4 Mn 3.13
Mn: 0.5000 0.5000 0.5000  8 Pm 3.13
Ni: 0.5000 0.5000 0.0000  8 Pm 3.01

**Energy above the most stable polymorph in this dataset**: 0.00 eV/f.u.
**SG**: P4/mmm
**Total moment**: 3.1 μB per cell
**Calculated density**: 7.52 g/cm³
**Total DFT energy (no corrections)**: -6.09 eV per atom
**E_form**: 0.02 eV/atom
**Fermi-level density of states**: 5.3 states/eV/cell

***

No. 3
First-principles (GGA-PBE) data for a relaxed CdInB crystal, as listed in Alexandria.

Lattice parameters (Å, degrees): 4.3959 4.3959 5.9223 90.00 90.00 90.00
With the nearest neighbours (Å) after each atom.
Fractional coordinates of all 6 atoms:
Cd: 0.2500 0.2500 0.2174  4 B 2.76, 2 In 2.85-3.07
Cd: 0.7500 0.7500 0.7826  4 B 2.76, 2 In 2.85-3.07
In: 0.2500 0.2500 0.7358  4 B 2.60, 1 Cd 2.85
In: 0.7500 0.7500 0.2642  4 B 2.60, 1 Cd 2.85
B: 0.2500 0.7500 0.5000  4 In 2.60, 4 Cd 2.76
B: 0.7500 0.2500 0.5000  4 In 2.60, 4 Cd 2.76

**SG**: P4/nmm
**Total moment**: 0.0 μB per cell
**Calculated density**: 6.91 g/cm³
**Total DFT energy (no corrections)**: -2.54 eV per atom
**E_form**: 0.90 eV/atom
**Fermi-level density of states**: 2.5 states/eV/cell

***

No. 4
First-principles (GGA-PBE) data for a relaxed KSnAs2Pt4 crystal, as listed in Alexandria.

Lattice parameters (Å, degrees): 4.0481 4.0481 10.6589 90.00 90.00 90.00
With the nearest neighbours (Å) after each atom.
Fractional coordinates of all 8 atoms:
K: 0.0000 0.0000 0.0000  8 As 3.47
Sn: 0.0000 0.0000 0.5000  8 Pt 2.79
As: 0.5000 0.5000 0.1843  4 Pt 2.48
As: 0.5000 0.5000 0.8157  4 Pt 2.48
Pt: 0.0000 0.5000 0.3193  2 As 2.48
Pt: 0.0000 0.5000 0.6807  2 As 2.48
Pt: 0.5000 0.0000 0.3193  2 As 2.48
Pt: 0.5000 0.0000 0.6807  2 As 2.48

**SG**: P4/mmm
**Total moment**: 0.0 μB per cell
**Calculated density**: 10.34 g/cm³
**Total DFT energy (no corrections)**: -5.28 eV per atom
**E_form**: -0.46 eV/atom
**Fermi-level density of states**: 2.3 states/eV/cell

***

- The lowest calculated density belongs to which entry?
  LiTbDyBe